# 1
Compound: Li2Al2Cd2CuPt
Source: OQMD
Functional: PBE
Structure: relaxed

Values from the calculation:
Its crystal system is tetragonal. The calculation puts the energy at -25.77 eV for the cell shown. For the total magnetic moment, the calculation gives 0.00 Bohr magnetons per cell.

abc: 4.419 4.419 6.262
angles: 90.00 90.00 90.00
Fractional coordinates of all 8 atoms:
Li 0.000 0.000 0.000
Li 0.500 0.500 0.500
Al 0.000 0.500 0.739
Al 0.500 0.000 0.261
Cd 0.000 0.500 0.234
Cd 0.500 0.000 0.766
Cu 0.500 0.500 0.000
Pt 0.000 0.000 0.500



# 2
Compound: TaInFeRe
Source: OQMD
Functional: PBE
Structure: relaxed

Values from the calculation:
Its polymorph energy (0 for the lowest one) is 0.0 kJ per mole of atoms. Its crystal system is cubic. For the total magnetic moment, the calculation gives 0.90 Bohr magnetons per cell.

abc: 4.480 4.480 4.480
angles: 60.00 60.00 60.00
Fractional coordinates of all 4 atoms:
Ta 0.000 0.000 0.000
In 0.500 0.500 0.500
Fe 0.750 0.750 0.750
Re 0.250 0.250 0.250



# 3
Compound: NbCuSbPd
Source: OQMD
Functional: PBE
Structure: relaxed

Values from the calculation:
Its polymorph energy (0 for the lowest one) is 0.0 kJ per mole of atoms. Its crystal system is cubic. For the total magnetic moment, the calculation gives 0.16 Bohr magnetons per cell.

abc: 4.596 4.596 4.596
angles: 60.00 60.00 60.00
Fractional coordinates of all 4 atoms:
Nb 0.000 0.000 0.000
Cu 0.500 0.500 0.500
Sb 0.250 0.250 0.250
Pd 0.750 0.750 0.750



# 4
Compound: Sm2HoTa2N6
Source: OQMD
Functional: PBE
Structure: relaxed

Values from the calculation:
Its crystal system is tetragonal. The calculation puts the energy at -102.72 eV for the cell shown. For the total magnetic moment, the calculation gives 0.00 Bohr magnetons per cell.

abc: 10.011 10.011 10.011
angles: 156.92 156.92 32.86
Fractional coordinates of all 11 atoms:
Sm 0.179 0.179 0.000
Sm 0.821 0.821 0.000
Ho 0.000 0.000 0.000
Ta 0.402 0.402 0.000
Ta 0.598 0.598 0.000
N 0.081 0.581 0.500
N 0.300 0.300 0.000
N 0.419 0.919 0.500
N 0.581 0.081 0.500
N 0.700 0.700 0.000
N 0.919 0.419 0.500



# 5
Compound: Dy3Mg3Hg2Ir
Source: OQMD
Functional: PBE
Structure: relaxed

Values from the calculation:
Its crystal system is hexagonal. The calculation puts the energy at -32.10 eV for the cell shown. For the total magnetic moment, the calculation gives 0.02 Bohr magnetons per cell.

abc: 7.512 7.512 4.325
angles: 90.00 90.00 120.00
Fractional coordinates of all 9 atoms:
Dy 0.000 0.612 0.000
Dy 0.388 0.388 0.000
Dy 0.612 0.000 0.000
Mg 0.000 0.233 0.500
Mg 0.233 0.000 0.500
Mg 0.767 0.767 0.500
Hg 0.333 0.667 0.500
Hg 0.667 0.333 0.500
Ir 0.000 0.000 0.000



# 6
Compound: UGaAs
Source: OQMD
Functional: PBE
Structure: relaxed

Values from the calculation:
Its polymorph energy (0 for the lowest one) is 2.4 kJ per mole of atoms. Its crystal system is cubic. For the total magnetic moment, the calculation gives 2.52 Bohr magnetons per cell.

abc: 4.645 4.645 4.645
angles: 60.00 60.00 60.00
Fractional coordinates of all 3 atoms:
U 0.000 0.000 0.000
Ga 0.500 0.500 0.500
As 0.750 0.750 0.750



# 7
Compound: Lu3SnC
Source: OQMD
Functional: PBE
Structure: relaxed

Values from the calculation:
Its crystal system is orthorhombic. The calculation puts the energy at -59.45 eV for the cell shown. For the total magnetic moment, the calculation gives 1.33 Bohr magnetons per cell.

abc: 6.609 6.609 9.651
angles: 90.00 90.00 148.50
Fractional coordinates of all 10 atoms:
Lu 0.033 0.967 0.750
Lu 0.377 0.623 0.536
Lu 0.377 0.623 0.964
Lu 0.623 0.377 0.036
Lu 0.623 0.377 0.464
Lu 0.967 0.033 0.250
Sn 0.253 0.747 0.250
Sn 0.747 0.253 0.750
C 0.000 0.000 0.000
C 0.000 0.000 0.500



# 8
Compound: KHgP
Source: OQMD
Functional: PBE
Structure: relaxed

Values from the calculation:
Its crystal system is hexagonal. The calculation puts the energy at -18.40 eV for the cell shown.

abc: 8.456 8.456 3.841
angles: 90.00 90.00 120.00
Fractional coordinates of all 9 atoms:
K 0.000 0.284 0.000
K 0.284 0.000 0.000
K 0.716 0.716 0.000
Hg 0.000 0.617 0.500
Hg 0.383 0.383 0.500
Hg 0.617 0.000 0.500
P 0.000 0.000 0.500
P 0.333 0.667 0.000
P 0.667 0.333 0.000